The following is a GGA+U calculation of a relaxed Co3SnO crystal, from Alexandria via LeMat-Bulk.

Cell lengths 4.8909, 4.8909, 4.8909 Å; angles 90.00, 90.00, 90.00 degrees
Closest atoms and distances in Å follow each position.
Space group Pm-3m (No. 221)
Symmetry-distinct sites (fractional):
Co1 0.0000 0.0000 0.5000 (multiplicity 3)  2 Sn 2.45
Sn1 0.0000 0.0000 0.0000 (multiplicity 1)  6 Co 2.45
O1 0.5000 0.5000 0.5000 (multiplicity 1)  12 Co 3.46

Values from the calculation:
- DFT total energy: -15.249 eV/f.u.